Entry 1:
Computed, not measured: a geometry-optimized EuMg2Rh structure at the GGA-PBEsol level of DFT.

Results
Its energy of formation from the pure elements is -0.353 eV/atom. As for the space group: Cmcm (63).

Cell: 5.5570 5.5570 8.1291 Å, 90.00 90.00 135.41°
Positions (direct):
Eu (0.0580, 0.9420, 0.7500)
Eu (0.9420, 0.0580, 0.2500)
Mg (0.3421, 0.6579, 0.5585)
Mg (0.3421, 0.6579, 0.9415)
Mg (0.6579, 0.3421, 0.0585)
Mg (0.6579, 0.3421, 0.4415)
Rh (0.2299, 0.7701, 0.2500)
Rh (0.7701, 0.2299, 0.7500)

---

Entry 2:
Computed, not measured: a geometry-optimized EuMg2Sb2 structure at the GGA-PBEsol level of DFT.

Results
The uncorrected formation energy is -0.749 eV per atom. As for the space group: P-3m1 (164).

Cell: 4.6756 4.6756 7.5169 Å, 90.00 90.00 120.00°
Positions (direct):
Eu (0.0000, 0.0000, 0.0000)
Mg (0.3333, 0.6667, 0.6327)
Mg (0.6667, 0.3333, 0.3673)
Sb (0.3333, 0.6667, 0.2452)
Sb (0.6667, 0.3333, 0.7548)

---

Entry 3:
Computed, not measured: a geometry-optimized EuMgSi structure at the GGA-PBEsol level of DFT.

Results
The uncorrected formation energy is -0.496 eV per atom. As for the space group: Pnma (62).

Cell: 7.4508 4.4302 8.3136 Å, 90.00 90.00 90.00°
Positions (direct):
Eu (0.0180, 0.2500, 0.1824)
Eu (0.4820, 0.7500, 0.6824)
Eu (0.5180, 0.2500, 0.3176)
Eu (0.9820, 0.7500, 0.8176)
Mg (0.1472, 0.2500, 0.5643)
Mg (0.3528, 0.7500, 0.0643)
Mg (0.6472, 0.2500, 0.9357)
Mg (0.8528, 0.7500, 0.4357)
Si (0.2264, 0.7500, 0.3857)
Si (0.2736, 0.2500, 0.8857)
Si (0.7264, 0.7500, 0.1143)
Si (0.7736, 0.2500, 0.6143)

---

Number 1: mass density 5.7 g/cm3, total energy -0.4327 Ry per atom. Number 2: mass density 5.2 g/cm3, total energy -0.3948 Ry per atom. Number 3: mass density 4.9 g/cm3, total energy -0.4781 Ry per atom.